Density functional theory data (PBE-GGA) for a geometry-optimized Pa2Co3Si4Pt structure.

Properties
The formation energy (no corrections) is -852 meV/atom. As for the uncorrected energy: -7.656 eV per atom.

Cell: 3.9660 3.9660 9.6808 Å, 90.00 90.00 90.00°
Space group P-4m2 (No. 115)
Asymmetric unit:
1 Pa 0.0000 0.5000 0.2403 (multiplicity 2)
2 Co 0.0000 0.5000 0.8750 (multiplicity 2)
3 Co 0.5000 0.5000 0.5000 (multiplicity 1)
4 Si 0.0000 0.0000 0.0000 (multiplicity 1)
5 Si 0.0000 0.5000 0.6422 (multiplicity 2)
6 Si 0.5000 0.5000 0.0000 (multiplicity 1)
7 Pt 0.0000 0.0000 0.5000 (multiplicity 1)